{"formula": "NiPSO2", "functional": "GGA+U", "state": "relaxed", "cell": [[3.506, 0.000, 0.000], [0.000, 3.506, 0.000], [0.000, 0.000, 4.779]], "species": ["Ni", "P", "S", "O", "O"], "fractional_positions": [[0.000, 0.000, 0.000], [0.500, 0.500, 0.000], [0.500, 0.500, 0.500], [0.000, 0.500, 0.500], [0.500, 0.000, 0.500]], "m_tot_mub_per_cell": 1.02, "energy_ev_per_atom": -4.125, "sg": "P4/mmm (123)", "dos_ef_per_ev_cell": 1.58}